(1)
# Tb6YSc6

Crystalline Tb6YSc6 at its relaxed geometry (PBE, the Alexandria database).

**Fermi-level density of states**: 27.18 states/eV per cell

Cell lengths 6.4250, 6.4250, 10.8614 Å; angles 90.00, 90.00, 120.00 degrees
Last column: nearest neighbours and their distance in Å.
Space group P6/mmm (No. 191)
Unique sites:
Tb  0.0000  0.0000  0.1618 (multiplicity 2)  6 Sc 3.38, 1 Tb 3.51, 1 Y 3.67
Tb  0.3333  0.6667  0.0000 (multiplicity 2)  6 Sc 3.36, 3 Tb 3.71
Tb  0.3333  0.6667  0.5000 (multiplicity 2)  6 Sc 3.22
Y  0.0000  0.0000  0.5000 (multiplicity 1)  8 Tb 3.67-3.71
Sc  0.0000  0.5000  0.2576 (multiplicity 6)  4 Sc 3.21, 6 Tb 3.22-3.38

=====

(2)
# PmGa5Pd2Au

Crystalline PmGa5Pd2Au at its relaxed geometry (PBE, the Alexandria database).

**Fermi-level density of states**: 3.52 states/eV per cell

Cell lengths 4.2910, 4.2910, 10.5142 Å; angles 90.00, 90.00, 90.00 degrees
Last column: nearest neighbours and their distance in Å.
Space group P4/mmm (No. 123)
Unique sites:
Pm  0.0000  0.0000  0.0000 (multiplicity 1)  4 Ga 3.03
Ga  0.0000  0.5000  0.3452 (multiplicity 4)  2 Pd 2.50, 2 Au 2.69
Ga  0.5000  0.5000  0.0000 (multiplicity 1)  2 Pd 2.35
Pd  0.5000  0.5000  0.2238 (multiplicity 2)  5 Ga 2.35-2.50
Au  0.0000  0.0000  0.5000 (multiplicity 1)  8 Ga 2.69

=====

| no. | energy relative to the elements (eV/atom) |
| --- | --- |
| 1 | 0.219 |
| 2 | -0.342 |